# 1
Ca4H6S | GGA-PBE | optimized geometry

## Properties
The total energy comes out at -3.70 eV per atom. The total magnetic moment comes out at 0.0 μB/cell.

Lattice parameters (Å, degrees): 7.1184 7.1184 3.5213 90.00 90.00 120.00
Last column: nearest neighbours and their distance in Å.
Space group P-6m2 (No. 187)
Symmetry-distinct sites (fractional):
Ca  0.0000  0.0000  0.0000  9 H 2.35-2.57
Ca  0.0033  0.5017  0.5000  6 H 2.35-2.55
H  0.2082  0.4164  0.0000  5 Ca 2.55-2.57, 6 H 2.67-2.85
H  0.2534  0.1267  0.5000  4 Ca 2.35
S  0.6667  0.3333  0.0000  6 Ca 2.72



# 2
CaHS3 | GGA-PBE | optimized geometry

## Properties
The total energy comes out at -3.56 eV per atom. Its distance to the lowest polymorph of the same formula is 0 meV per atom. The total magnetic moment comes out at 0.0 μB/cell.

Lattice parameters (Å, degrees): 4.2808 4.2808 4.2808 90.00 90.00 90.00
Last column: nearest neighbours and their distance in Å.
Space group Pm-3m (No. 221)
Symmetry-distinct sites (fractional):
Ca  0.0000  0.0000  0.0000  12 S 3.03
H  0.5000  0.5000  0.5000  6 S 2.14
S  0.0000  0.5000  0.5000  2 H 2.14



# 3
CaHS | GGA-PBE | optimized geometry

## Properties
The total energy comes out at -4.41 eV per atom. The total magnetic moment comes out at 0.0 μB/cell.

Lattice parameters (Å, degrees): 3.9840 7.2514 6.8972 90.00 90.00 90.00
Last column: nearest neighbours and their distance in Å.
Space group Imm2 (No. 44)
Symmetry-distinct sites (fractional):
Ca  0.0000  0.0000  0.0000  4 H 2.36
Ca  0.0000  0.5000  0.0117  2 H 2.36
H  0.0000  0.4462  0.6742  1 H 0.78
S  0.0000  0.2507  0.3394  3 H 2.70-2.71, 6 Ca 2.89-2.96



# 4
CaHS | GGA-PBE | optimized geometry

## Properties
The total energy comes out at -4.40 eV per atom. The total magnetic moment comes out at 0.0 μB/cell.

Lattice parameters (Å, degrees): 4.1653 4.1653 22.2606 90.00 90.00 120.00
Last column: nearest neighbours and their distance in Å.
Space group R3m (No. 160, hexagonal axes)
Symmetry-distinct sites (fractional):
Ca  0.0000  0.0000  0.0000  6 H 2.43-2.67, 1 S 2.66
Ca  0.0000  0.0000  0.1549  3 S 2.74
H  0.0000  0.0000  0.6149  1 H 0.78
H  0.0000  0.0000  0.6497  1 H 0.78
S  0.0000  0.0000  0.3987  6 Ca 2.81-3.12, 3 H 3.02
S  0.0000  0.0000  0.8807  4 Ca 2.66-2.74, 3 H 2.84



# 5
CaHS | GGA-PBE | optimized geometry

## Properties
The total energy comes out at -4.47 eV per atom. The total magnetic moment comes out at 0.0 μB/cell.

Lattice parameters (Å, degrees): 4.0320 4.0320 20.9493 90.00 90.00 120.00
Last column: nearest neighbours and their distance in Å.
Space group R3m (No. 160, hexagonal axes)
Symmetry-distinct sites (fractional):
Ca  0.0000  0.0000  0.0000  6 H 2.34-2.39
Ca  0.0000  0.0000  0.1706  6 S 2.85-2.87, 1 H 3.19
H  0.0000  0.0000  0.3228  1 H 0.78
H  0.0000  0.0000  0.3601  1 H 0.78
S  0.0000  0.0000  0.5828  3 H 2.79, 6 Ca 2.85-2.92
S  0.0000  0.0000  0.7568  3 H 2.68, 6 Ca 2.87-3.00



# 6
Ca2HS | GGA-PBE | optimized geometry

## Properties
The total energy comes out at -3.81 eV per atom. Its distance to the lowest polymorph of the same formula is 171 meV per atom. The total magnetic moment comes out at 4.0 μB/cell.

Lattice parameters (Å, degrees): 5.9873 5.9873 11.4768 90.00 90.00 90.00
Last column: nearest neighbours and their distance in Å.
Space group I-42d (No. 122)
Symmetry-distinct sites (fractional):
Ca  0.2173  0.2500  0.1250  2 H 2.45, 2 S 2.68
H  0.0000  0.0000  0.0000  4 Ca 2.45
S  0.0000  0.0000  0.5000  4 Ca 2.68



# 7
CaH4S2 | GGA-PBE | optimized geometry

## Properties
The total energy comes out at -3.32 eV per atom. The total magnetic moment comes out at 0.0 μB/cell.

Lattice parameters (Å, degrees): 4.2148 4.2148 12.9338 90.00 90.00 90.00
Last column: nearest neighbours and their distance in Å.
Space group I4/mmm (No. 139)
Symmetry-distinct sites (fractional):
Ca  0.0000  0.0000  0.0000  4 H 2.11
H  0.0000  0.0000  0.2840  1 S 1.37
H  0.0000  0.5000  0.0000  2 Ca 2.11
S  0.0000  0.0000  0.3896  1 H 1.37



# 8
Ca7H12S | GGA-PBE | optimized geometry

## Properties
The total energy comes out at -3.46 eV per atom. The total magnetic moment comes out at 0.0 μB/cell.

Lattice parameters (Å, degrees): 14.8462 14.8462 5.4092 90.00 90.00 120.00
Last column: nearest neighbours and their distance in Å.
Space group R-3 (No. 148, hexagonal axes)
Symmetry-distinct sites (fractional):
Ca  0.0000  0.0000  0.0000  6 H 2.38
Ca  0.0469  0.2160  0.2830  5 H 2.21-2.28
H  0.0546  0.5967  0.1126  3 Ca 2.23-2.28
H  0.0885  0.9064  0.9186  3 Ca 2.21-2.38
S  0.0000  0.0000  0.5000  2 Ca 2.70